(1)
First-principles (PBE) data for Hf8AlSn2 after structural relaxation, as listed in the Alexandria database.

Geometry as extended XYZ:
```
11
Lattice="3.815 -6.721 0.000 3.815 6.721 0.000 -2.214 0.000 4.825" Properties=species:S:1:pos:R:3 pbc="T T T"
Hf 0.111 1.465 3.207
Hf 3.815 3.833 0.000
Hf 0.111 -1.465 3.207
Hf 2.640 0.000 0.986
Hf 2.776 0.000 3.839
Hf 5.304 1.465 1.618
Hf 3.815 -3.833 0.000
Hf 5.304 -1.465 1.618
Al 0.000 0.000 0.000
Sn 2.708 2.646 2.413
Sn 2.708 -2.646 2.413
```

- SG: C2/m
- Formation energy: -0.0312 eV/atom

(2)
First-principles (PBE) data for PaPN3 after structural relaxation, as listed in the Alexandria database.

Geometry as extended XYZ:
```
10
Lattice="3.868 0.000 0.000 0.000 5.364 0.000 -1.419 0.000 5.926" Properties=species:S:1:pos:R:3 pbc="T T T"
Pa 0.230 1.341 1.795
Pa 2.218 4.023 4.131
P 0.470 1.341 4.907
P 1.978 4.023 1.019
N 0.481 4.023 0.360
N 0.258 0.034 3.923
N 0.258 2.648 3.923
N 2.190 2.716 2.003
N 2.190 5.330 2.003
N 1.967 1.341 5.566
```

- SG: P2_1/m
- Formation energy from raw total energies: -905 meV/atom

(3)
First-principles (PBE) data for Ac5Pr12Si3 after structural relaxation, as listed in the Alexandria database.

Geometry as extended XYZ:
```
80
Lattice="-9.354 9.354 9.354 9.354 -9.354 9.354 9.354 9.354 -9.354" Properties=species:S:1:pos:R:3 pbc="T T T"
Ac 0.000 0.000 0.000
Ac 4.677 4.677 -4.677
Ac 4.677 -4.677 4.677
Ac 9.354 0.000 0.000
Ac 14.031 2.339 0.000
Ac 9.354 -4.677 7.016
Ac 7.016 9.354 -4.677
Ac 7.016 0.000 4.677
Ac 4.677 7.016 0.000
Ac 9.354 4.677 2.339
Ac -4.677 4.677 4.677
Ac 0.000 9.354 0.000
Ac 0.000 0.000 9.354
Ac 4.677 4.677 4.677
Ac 0.000 4.677 7.016
Ac 4.677 2.339 9.354
Ac 2.339 9.354 4.677
Ac 2.339 0.000 14.031
Ac 0.000 14.031 2.339
Ac -4.677 7.016 9.354
Pr 9.182 -1.793 2.809
Pr 14.204 -1.869 2.884
Pr 2.809 -0.173 1.793
Pr 11.223 6.470 -4.850
Pr 12.163 0.173 1.793
Pr 11.223 -2.884 4.850
Pr 1.793 2.809 -0.173
Pr 12.238 4.504 -1.869
Pr 6.470 4.850 -1.869
Pr 7.561 2.809 0.173
Pr -0.173 1.793 2.809
Pr 4.850 -1.869 6.470
Pr 9.182 7.561 -2.809
Pr 4.850 1.869 2.884
Pr 7.561 -2.809 9.182
Pr 6.470 -4.850 11.223
Pr 2.884 4.850 1.869
Pr 11.148 6.546 0.173
Pr 2.809 9.182 -1.793
Pr 11.223 2.884 4.504
Pr 1.869 2.884 4.850
Pr 2.809 0.173 7.561
Pr 4.850 11.223 -2.884
Pr 9.182 1.793 6.546
Pr 0.173 7.561 2.809
Pr 4.504 -1.869 12.238
Pr 6.546 9.182 1.793
Pr 7.486 6.470 4.504
Pr -1.869 6.470 4.850
Pr 6.546 0.173 11.148
Pr -1.793 2.809 9.182
Pr 6.470 4.504 7.486
Pr 2.884 14.204 -1.869
Pr 1.793 12.163 0.173
Pr 4.504 7.486 6.470
Pr 0.173 1.793 12.163
Pr 4.504 11.223 2.884
Pr 9.527 7.561 6.546
Pr 1.793 6.546 9.182
Pr 2.884 4.504 11.223
Pr -2.884 4.850 11.223
Pr 7.561 6.546 9.527
Pr -1.869 12.238 4.504
Pr -2.809 9.182 7.561
Pr -1.869 2.884 14.204
Pr 6.546 9.527 7.561
Pr -4.850 11.223 6.470
Pr 0.173 11.148 6.546
Si 4.677 2.339 0.000
Si 9.354 4.677 -2.339
Si 2.339 0.000 4.677
Si 11.693 0.000 4.677
Si 0.000 4.677 2.339
Si 4.677 -2.339 9.354
Si 4.677 11.693 0.000
Si 9.354 4.677 7.016
Si -2.339 9.354 4.677
Si 7.016 9.354 4.677
Si 0.000 4.677 11.693
Si 4.677 7.016 9.354
```

- SG: Ia-3d
- Formation energy from raw total energies: 606 meV/atom

(4)
First-principles (PBE) data for LiHf2Be16 after structural relaxation, as listed in the Alexandria database.

Geometry as extended XYZ:
```
19
Lattice="3.785 2.185 3.640 -3.785 2.185 3.640 0.000 -4.370 3.640" Properties=species:S:1:pos:R:3 pbc="T T T"
Li 0.000 0.000 0.000
Hf 0.000 0.000 2.697
Hf 0.000 0.000 6.156
Be -1.887 -1.089 4.330
Be -1.568 -2.187 6.239
Be -2.679 -0.265 6.239
Be 0.000 -2.151 4.532
Be -1.863 1.075 4.532
Be -1.861 -1.075 8.063
Be 1.887 -1.089 4.330
Be 0.000 2.179 4.330
Be 1.568 -2.187 6.239
Be -1.110 2.452 6.239
Be 1.863 1.075 4.532
Be 0.000 0.000 8.730
Be 1.861 -1.075 8.063
Be 0.000 2.149 8.063
Be 2.679 -0.265 6.239
Be 1.110 2.452 6.239
```

- SG: R3m
- Formation energy: -0.1801 eV/atom

(5)
First-principles (PBE) data for AcY2Co after structural relaxation, as listed in the Alexandria database.

Geometry as extended XYZ:
```
4
Lattice="3.514 0.000 0.000 0.000 3.514 0.000 0.000 0.000 9.205" Properties=species:S:1:pos:R:3 pbc="T T T"
Ac 0.000 0.000 0.000
Y 1.757 1.757 3.005
Y 1.757 1.757 6.200
Co 0.000 0.000 4.603
```

- SG: P4/mmm
- Formation energy: -0.0080 eV/atom

(6)
First-principles (PBE) data for Li2As after structural relaxation, as listed in the Alexandria database.

Geometry as extended XYZ:
```
12
Lattice="6.066 0.000 0.000 0.000 6.066 0.000 0.000 0.000 6.066" Properties=species:S:1:pos:R:3 pbc="T T T"
Li 1.517 1.517 1.517
Li 1.517 1.517 4.550
Li 1.517 4.550 1.517
Li 1.517 4.550 4.550
Li 4.550 1.517 1.517
Li 4.550 1.517 4.550
Li 4.550 4.550 1.517
Li 4.550 4.550 4.550
As 0.000 0.000 0.000
As 0.000 3.033 3.033
As 3.033 0.000 3.033
As 3.033 3.033 0.000
```

- SG: Fm-3m
- Formation energy: -0.4292 eV/atom

(7)
First-principles (PBE) data for TbTm2MgTl4 after structural relaxation, as listed in the Alexandria database.

Geometry as extended XYZ:
```
8
Lattice="2.616 1.510 8.860 -2.616 1.510 8.860 0.000 -3.021 8.860" Properties=species:S:1:pos:R:3 pbc="T T T"
Tb 0.000 0.000 0.000
Tm 0.000 0.000 6.509
Tm 0.000 0.000 20.071
Mg 0.000 0.000 13.290
Tl 0.000 0.000 3.328
Tl 0.000 0.000 10.015
Tl 0.000 0.000 16.566
Tl 0.000 0.000 23.252
```

- SG: R-3m
- Formation energy: -0.2657 eV/atom

(8)
First-principles (PBE) data for Ba2Sr2C after structural relaxation, as listed in the Alexandria database.

Geometry as extended XYZ:
```
10
Lattice="4.445 0.000 0.000 0.000 4.445 0.000 0.000 0.000 21.605" Properties=species:S:1:pos:R:3 pbc="T T T"
Ba 0.000 2.222 5.401
Ba 0.000 2.222 16.203
Ba 2.222 0.000 5.401
Ba 2.222 0.000 16.203
Sr 0.000 0.000 1.646
Sr 0.000 0.000 19.959
Sr 2.222 2.222 9.157
Sr 2.222 2.222 12.448
C 0.000 0.000 10.802
C 2.222 2.222 0.000
```

- SG: I4/mmm
- Formation energy: 1.3425 eV/atom

> Number 3 is which compound?

Ac5Pr12Si3